# 1
VASP calculation (PBE-GGA) on crystalline MnPb3 at its relaxed geometry.

The final energy comes out at -4.661 eV per atom. As for the crystal system: trigonal. For the density of states at the Fermi level, the calculation gives 0.7177 states/eV/atom. As for the volume: 332 Å³ per cell.

The structure belongs to space group R-3m (No. 166, hexagonal axes); the cell edges are 10.5961, 10.5961 and 3.4185 Å and the angles 90.00°, 90.00° and 120.00°. The asymmetric unit holds Mn at (0.0000, 0.0000, 0.0000) and Pb at (0.0000, 0.5000, 0.0000).

# 2
VASP calculation (PBE-GGA) on crystalline Mn2Pb at its relaxed geometry.

The final energy comes out at -6.847 eV per atom. As for the crystal system: hexagonal. For the density of states at the Fermi level, the calculation gives 0.7614 states/eV/atom. As for the volume: 105 Å³ per cell.

The structure belongs to space group P6_3/mmc (No. 194); the cell edges are 4.6456, 4.6456 and 5.6356 Å and the angles 90.00°, 90.00° and 120.00°. The asymmetric unit holds Mn at (0.0000, 0.0000, 0.0000), Mn at (0.3333, 0.6667, 0.2500) and Pb at (0.3333, 0.6667, 0.7500).

# 3
VASP calculation (PBE-GGA) on crystalline Mn2Pb at its relaxed geometry.

The final energy comes out at -6.980 eV per atom. As for the crystal system: orthorhombic. For the density of states at the Fermi level, the calculation gives 0.9512 states/eV/atom. As for the volume: 233 Å³ per cell.

The structure belongs to space group Cmcm (No. 63); the cell edges are 3.178, 19.046 and 3.847 Å and the angles 90.00°, 90.00° and 90.00°. The asymmetric unit holds Mn at (0.000, 0.045, 0.250), Mn at (0.000, 0.440, 0.250) and Pb at (0.000, 0.322, 0.750).

# 4
VASP calculation (PBE-GGA) on crystalline Mn3Pb at its relaxed geometry.

The final energy comes out at -7.154 eV per atom. As for the crystal system: trigonal. For the density of states at the Fermi level, the calculation gives 1.1222 states/eV/atom. As for the volume: 210 Å³ per cell.

The structure belongs to space group R-3m (No. 166, hexagonal axes); the cell edges are 9.0494, 9.0494 and 2.9596 Å and the angles 90.00°, 90.00° and 120.00°. The asymmetric unit holds Mn at (0.0000, 0.5000, 0.0000) and Pb at (0.0000, 0.0000, 0.0000).